[1]
Material: Y3MnB7
Method: DFT, GGA-PBEsol
State: relaxed

abc: 3.3949 15.6226 9.2412
angles: 90.00 90.00 90.00
Space group Cmcm (No. 63)
Asymmetric unit:
Y: 0.0000 0.1043 0.0601
Y: 0.0000 0.2407 0.7500
Mn: 0.0000 0.0534 0.7500
B: 0.0000 0.2726 0.0321
B: 0.0000 0.3699 0.1528
B: 0.0000 0.4595 0.7500
B: 0.0000 0.4785 0.0978

Values from the calculation:
magnetic moment: 0.2 μB per formula unit
DOS at the Fermi energy: 16.7 states/eV/cell
total DFT energy (no corrections): -0.5799 Ry per atom
E_form: -0.677 eV per atom



[2]
Material: YMnB2
Method: DFT, GGA-PBEsol
State: relaxed

abc: 5.7402 5.7402 5.7402
angles: 90.00 90.00 90.00
Space group Fm-3m (No. 225)
Asymmetric unit:
Y: 0.0000 0.0000 0.0000
Mn: 0.0000 0.0000 0.5000
B: 0.2500 0.2500 0.2500

Values from the calculation:
magnetic moment: 1.8 μB per formula unit
DOS at the Fermi energy: 15.3 states/eV/cell
total DFT energy (no corrections): -0.5318 Ry per atom
E_form: 0.419 eV per atom



[3]
Material: Zr2MnB2
Method: DFT, GGA-PBEsol
State: relaxed

abc: 6.0765 6.0765 3.3720
angles: 90.00 90.00 90.00
Space group P4/mbm (No. 127)
Asymmetric unit:
Zr: 0.1848 0.3152 0.0000
Mn: 0.0000 0.0000 0.5000
B: 0.1052 0.6052 0.5000

Values from the calculation:
magnetic moment: 0.0 μB per formula unit
DOS at the Fermi energy: 3.8 states/eV/cell
total DFT energy (no corrections): -0.6621 Ry per atom
E_form: -0.614 eV per atom



[4]
Material: B2Mo3
Method: DFT, GGA-PBEsol
State: relaxed

abc: 5.9759 5.9759 3.1322
angles: 90.00 90.00 90.00
Space group P4/mbm (No. 127)
Asymmetric unit:
B: 0.1133 0.3867 0.0000
Mo: 0.0000 0.0000 0.0000
Mo: 0.1730 0.6730 0.5000

Values from the calculation:
magnetic moment: 0.0 μB per formula unit
DOS at the Fermi energy: 4.5 states/eV/cell
total DFT energy (no corrections): -0.7576 Ry per atom
E_form: -0.441 eV per atom



- The highest E_form belongs to which entry?
  YMnB2